(1)
First-principles (PBE) data for an optimized crystal structure of DyMg2MoH8, as listed in the Alexandria database.

Lattice parameters (Å, degrees): 4.7485 4.7485 9.2749 90.00 90.00 90.00
Space group I-4m2 (No. 119)
Inequivalent atoms, fractional coordinates:
Dy 0.0000 0.0000 0.0000
Mg 0.0000 0.0000 0.5000
Mg 0.0000 0.5000 0.7500
Mo 0.0000 0.5000 0.2500
H 0.2280 0.2563 0.3618

Volume   209 Å³ per cell


(2)
First-principles (PBE) data for an optimized crystal structure of DyMgH6Rh2, as listed in the Alexandria database.

Lattice parameters (Å, degrees): 4.5529 4.5529 15.4321 90.00 90.00 120.00
Space group R-3m (No. 166, hexagonal axes)
Inequivalent atoms, fractional coordinates:
Dy 0.0000 0.0000 0.0000
Mg 0.0000 0.0000 0.5000
H 0.9997 0.4998 0.0596
Rh 0.0000 0.0000 0.2095

Volume   277 Å³ per cell


(3)
First-principles (PBE) data for an optimized crystal structure of Dy2MnH, as listed in the Alexandria database.

Lattice parameters (Å, degrees): 3.3612 3.3612 25.6793 90.00 90.00 120.00
Space group R-3m (No. 166, hexagonal axes)
Inequivalent atoms, fractional coordinates:
Dy 0.0000 0.0000 0.1132
Mn 0.0000 0.0000 0.0000
H 0.0000 0.0000 0.5000

Volume   251 Å³ per cell


(4)
First-principles (PBE) data for an optimized crystal structure of DyMnPH, as listed in the Alexandria database.

Lattice parameters (Å, degrees): 3.7018 3.7018 7.8875 90.00 90.00 90.00
Space group P4/nmm (No. 129, origin choice 2)
Inequivalent atoms, fractional coordinates:
Dy 0.2500 0.2500 0.1700
Mn 0.2500 0.7500 0.5000
P 0.2500 0.2500 0.6748
H 0.2500 0.7500 0.0000

Volume   108 Å³ per cell


no.,total DFT energy (no corrections) (Ry per atom)
1,-0.2962
2,-0.3306
3,-0.3751
4,-0.4816